(1)
9
Lattice="8.198 0.000 0.000 -4.099 7.099 0.000 0.000 0.000 4.217" Properties=species:S:1:pos:R:3 comment="Dy3Y3Sb2Os | OQMD | PBE | relaxed" vol_a3_per_atom=27.3 relative_energy_mev_per_atom=20 dft_energy_ev_per_atom=-6.51 magnetic_moment_mub_per_fu=0.0 space_group="P-62m, No. 189" pbc="T T T"
Dy -2.478 4.292 0.000
Dy 1.621 2.807 0.000
Dy 4.956 0.000 0.000
Y -0.976 1.690 2.108
Y 1.952 0.000 2.108
Y 3.123 5.409 2.108
Sb 0.000 4.733 2.108
Sb 4.099 2.366 2.108
Os 0.000 0.000 0.000

=====

(2)
12
Lattice="7.980 0.000 0.000 0.000 7.980 0.000 0.000 0.000 7.980" Properties=species:S:1:pos:R:3 comment="SrLuTh | OQMD | PBE | relaxed" vol_a3_per_atom=42.4 relative_energy_mev_per_atom=0 dft_energy_ev_per_atom=-3.60 magnetic_moment_mub_per_fu=0.0 space_group="F-43m, No. 216" pbc="T T T"
Sr 0.000 0.000 0.000
Sr 0.000 3.990 3.990
Sr 3.990 0.000 3.990
Sr 3.990 3.990 0.000
Lu 1.995 1.995 1.995
Lu 1.995 5.985 5.985
Lu 5.985 1.995 5.985
Lu 5.985 5.985 1.995
Th 0.000 0.000 3.990
Th 0.000 3.990 0.000
Th 3.990 0.000 0.000
Th 3.990 3.990 3.990

=====

(3)
20
Lattice="2.758 0.000 0.000 0.000 2.758 0.000 0.000 0.000 51.389" Properties=species:S:1:pos:R:3 comment="InIr9 | OQMD | PBE | relaxed" vol_a3_per_atom=19.6 relative_energy_mev_per_atom=7 dft_energy_ev_per_atom=-8.18 magnetic_moment_mub_per_fu=0.0 space_group="P4/nmm, No. 129" pbc="T T T"
In 0.690 0.690 7.082
In 2.069 2.069 44.308
Ir 0.690 0.690 11.246
Ir 0.690 0.690 15.115
Ir 0.690 0.690 18.967
Ir 0.690 0.690 22.815
Ir 0.690 0.690 26.654
Ir 0.690 0.690 30.498
Ir 0.690 0.690 34.346
Ir 0.690 0.690 38.210
Ir 0.690 0.690 42.021
Ir 2.069 2.069 9.369
Ir 2.069 2.069 13.180
Ir 2.069 2.069 17.043
Ir 2.069 2.069 20.891
Ir 2.069 2.069 24.736
Ir 2.069 2.069 28.574
Ir 2.069 2.069 32.422
Ir 2.069 2.069 36.274
Ir 2.069 2.069 40.143

=====

(4)
16
Lattice="6.244 0.000 0.000 0.000 6.244 0.000 0.000 0.000 6.244" Properties=species:S:1:pos:R:3 comment="CoReNiBi | OQMD | PBE | relaxed" vol_a3_per_atom=15.2 relative_energy_mev_per_atom=0 dft_energy_ev_per_atom=-6.55 magnetic_moment_mub_per_fu=2.7 space_group="F-43m, No. 216" pbc="T T T"
Co 0.000 0.000 0.000
Co 0.000 3.122 3.122
Co 3.122 0.000 3.122
Co 3.122 3.122 0.000
Re 1.561 1.561 1.561
Re 1.561 4.683 4.683
Re 4.683 1.561 4.683
Re 4.683 4.683 1.561
Ni 0.000 0.000 3.122
Ni 0.000 3.122 0.000
Ni 3.122 0.000 0.000
Ni 3.122 3.122 3.122
Bi 1.561 1.561 4.683
Bi 1.561 4.683 1.561
Bi 4.683 1.561 1.561
Bi 4.683 4.683 4.683

=====

- Which formula does entry 4 have?
  CoReNiBi